Entry from Alexandria via LeMat-Bulk: a relaxed LaCeCo2 crystal (PBE).

```
LaCeCo2
1.0
6.307 0.000 0.000
0.000 6.336 0.000
-3.366 0.000 8.378
La Ce Co
4 4 8
direct
0.201 0.133 0.158 La
0.201 0.867 0.658 La
0.799 0.133 0.342 La
0.799 0.867 0.842 La
0.302 0.371 0.841 Ce
0.302 0.629 0.341 Ce
0.698 0.371 0.659 Ce
0.698 0.629 0.159 Ce
0.152 0.376 0.580 Co
0.152 0.624 0.080 Co
0.404 0.168 0.486 Co
0.404 0.832 0.986 Co
0.596 0.168 0.014 Co
0.596 0.832 0.514 Co
0.848 0.376 0.920 Co
0.848 0.624 0.420 Co
```

Calculated values
ΔE to the lowest computed polymorph	0.000	eV per atom
space group	P2/c (13)